Model a:
A plane-wave DFT calculation with PBE-GGA was carried out for a geometry-optimized NaTlInSn structure.

Unit cell a=7.6388 b=7.6388 c=7.6388 alpha=90.00 beta=90.00 gamma=90.00
Fractional positions:
Na 0.0000 0.0000 0.0000
Na 0.0000 0.5000 0.5000
Na 0.5000 0.0000 0.5000
Na 0.5000 0.5000 0.0000
Tl 0.2500 0.2500 0.2500
Tl 0.2500 0.7500 0.7500
Tl 0.7500 0.2500 0.7500
Tl 0.7500 0.7500 0.2500
In 0.0000 0.0000 0.5000
In 0.0000 0.5000 0.0000
In 0.5000 0.0000 0.0000
In 0.5000 0.5000 0.5000
Sn 0.2500 0.2500 0.7500
Sn 0.2500 0.7500 0.2500
Sn 0.7500 0.2500 0.2500
Sn 0.7500 0.7500 0.7500

## Properties
**Calculated volume**: 445.7 Å³ per cell
**Density of states at the Fermi level**: 6.14 states/eV per cell



Model b:
A plane-wave DFT calculation with PBE-GGA was carried out for a geometry-optimized NaTlInSn structure.

Unit cell a=4.4576 b=4.7627 c=5.1121 alpha=90.00 beta=90.00 gamma=90.00
Fractional positions:
Na 0.0000 0.0000 0.0000
Tl 0.5000 0.5000 0.0000
In 0.0000 0.5000 0.5000
Sn 0.5000 0.0000 0.5000

## Properties
**Calculated volume**: 108.5 Å³ per cell
**Density of states at the Fermi level**: 2.30 states/eV per cell



Which of them is the least stable? Correct choice: model a.



Model a:
A plane-wave DFT calculation with PBE-GGA was carried out for a geometry-optimized NaYInSn structure.

Unit cell a=7.5185 b=7.5185 c=7.5185 alpha=90.00 beta=90.00 gamma=90.00
Fractional positions:
Na 0.0000 0.0000 0.0000
Na 0.0000 0.5000 0.5000
Na 0.5000 0.0000 0.5000
Na 0.5000 0.5000 0.0000
Y 0.0000 0.0000 0.5000
Y 0.0000 0.5000 0.0000
Y 0.5000 0.0000 0.0000
Y 0.5000 0.5000 0.5000
In 0.2500 0.2500 0.2500
In 0.2500 0.7500 0.7500
In 0.7500 0.2500 0.7500
In 0.7500 0.7500 0.2500
Sn 0.2500 0.2500 0.7500
Sn 0.2500 0.7500 0.2500
Sn 0.7500 0.2500 0.2500
Sn 0.7500 0.7500 0.7500

## Properties
**Calculated volume**: 425.0 Å³ per cell
**Density of states at the Fermi level**: 10.57 states/eV per cell



Model b:
A plane-wave DFT calculation with PBE-GGA was carried out for a geometry-optimized NaYInSn structure.

Unit cell a=4.4911 b=4.6716 c=4.8738 alpha=90.00 beta=90.00 gamma=90.00
Fractional positions:
Na 0.0000 0.0000 0.0000
Y 0.0000 0.5000 0.5000
In 0.5000 0.5000 0.0000
Sn 0.5000 0.0000 0.5000

## Properties
**Calculated volume**: 102.3 Å³ per cell
**Density of states at the Fermi level**: 1.58 states/eV per cell



Which of them is the least stable? Correct choice: model a.



Model a:
A plane-wave DFT calculation with PBE-GGA was carried out for a geometry-optimized NaSrIn structure.

Unit cell a=5.2558 b=5.2558 c=8.9953 alpha=90.00 beta=90.00 gamma=120.00
Fractional positions:
Na 0.3333 0.6667 0.4494
Na 0.6667 0.3333 0.5506
Sr 0.0000 0.0000 0.2194
Sr 0.0000 0.0000 0.7806
In 0.3333 0.6667 0.0425
In 0.6667 0.3333 0.9575

## Properties
**Calculated volume**: 215.2 Å³ per cell
**Density of states at the Fermi level**: 2.88 states/eV per cell



Model b:
A plane-wave DFT calculation with PBE-GGA was carried out for a geometry-optimized NaSrIn structure.

Unit cell a=4.2476 b=4.2476 c=11.2163 alpha=90.00 beta=90.00 gamma=90.00
Fractional positions:
Na 0.0000 0.0000 0.0000
Na 0.5000 0.5000 0.5000
Sr 0.0000 0.0000 0.3058
Sr 0.5000 0.5000 0.8058
In 0.0000 0.0000 0.6379
In 0.5000 0.5000 0.1379

## Properties
**Calculated volume**: 202.4 Å³ per cell
**Density of states at the Fermi level**: 3.71 states/eV per cell



Which of them is the least stable? Correct choice: model a.



Model a:
A plane-wave DFT calculation with PBE-GGA was carried out for a geometry-optimized NaSrIn structure.

Unit cell a=9.4081 b=9.4081 c=9.4081 alpha=94.28 beta=94.28 gamma=148.30
Fractional positions:
Na 0.0000 0.3761 0.3761
Na 0.0000 0.6239 0.6239
Na 0.3761 0.0000 0.3761
Na 0.6239 0.0000 0.6239
Sr 0.2937 0.5000 0.7937
Sr 0.5000 0.2937 0.7937
Sr 0.5000 0.7063 0.2063
Sr 0.7063 0.5000 0.2063
In 0.2046 0.2046 0.4093
In 0.2046 0.7954 0.0000
In 0.7954 0.2046 0.0000
In 0.7954 0.7954 0.5907

## Properties
**Calculated volume**: 420.9 Å³ per cell
**Density of states at the Fermi level**: 5.53 states/eV per cell



Model b:
A plane-wave DFT calculation with PBE-GGA was carried out for a geometry-optimized NaSrIn structure.

Unit cell a=5.5489 b=5.5489 c=3.8165 alpha=90.00 beta=90.00 gamma=120.00
Fractional positions:
Na 0.0000 0.0000 0.0000
Sr 0.6667 0.3333 0.5000
In 0.3333 0.6667 0.0000

## Properties
**Calculated volume**: 101.8 Å³ per cell
**Density of states at the Fermi level**: 2.81 states/eV per cell



Which of them is the least stable? Correct choice: model a.